1.
Entry from Alexandria: RbNbF2 after structural relaxation (PBE-GGA).

abc: 3.1181 3.1181 25.2862
angles: 90.00 90.00 120.00
Space group R-3m (No. 166, hexagonal axes)
One atom of each set of equivalent atoms:
1 Rb 0.0000 0.0000 0.0000 (multiplicity 3)
2 Nb 0.0000 0.0000 0.5000 (multiplicity 3)
3 F 0.0000 0.0000 0.1041 (multiplicity 6)

Results
The calculation puts the calculated volume at 17.74 Å³ per atom. For the offset from the most stable computed form, the calculation gives 560 meV per atom. Its uncorrected formation energy is -1.15 eV per atom.

2.
Entry from Alexandria: Rb2NbRuF6 after structural relaxation (PBE-GGA).

abc: 6.4315 6.4315 8.9373
angles: 90.00 90.00 90.00
Space group I4/mmm (No. 139)
One atom of each set of equivalent atoms:
1 Rb 0.0000 0.5000 0.2500 (multiplicity 4)
2 Nb 0.0000 0.0000 0.0000 (multiplicity 2)
3 Ru 0.0000 0.0000 0.5000 (multiplicity 2)
4 F 0.0000 0.0000 0.2419 (multiplicity 4)
5 F 0.2280 0.2280 0.0000 (multiplicity 8)

Results
The calculation puts the calculated volume at 18.48 Å³ per atom. Its uncorrected formation energy is -2.02 eV per atom.

3.
Entry from Alexandria: Rb5NbS4F2 after structural relaxation (PBE-GGA).

abc: 8.6305 12.5065 7.4610
angles: 90.00 90.00 90.00
Space group Amm2 (No. 38)
One atom of each set of equivalent atoms:
1 Rb 0.0000 0.0000 0.0000 (multiplicity 2)
2 Rb 0.2280 0.2032 0.5944 (multiplicity 8)
3 Nb 0.5000 0.0000 0.1097 (multiplicity 2)
4 S 0.2822 0.0000 0.2879 (multiplicity 4)
5 S 0.5000 0.1455 0.9217 (multiplicity 4)
6 F 0.0000 0.2011 0.8600 (multiplicity 4)

Results
The calculation puts the calculated volume at 33.56 Å³ per atom. Its uncorrected formation energy is -1.68 eV per atom.

4.
Entry from Alexandria: Rb2NbSbF6 after structural relaxation (PBE-GGA).

abc: 7.6039 7.6039 8.6723
angles: 90.00 90.00 90.00
Space group I4/mmm (No. 139)
One atom of each set of equivalent atoms:
1 Rb 0.0000 0.5000 0.2500 (multiplicity 4)
2 Nb 0.0000 0.0000 0.0000 (multiplicity 2)
3 Sb 0.0000 0.0000 0.5000 (multiplicity 2)
4 F 0.0000 0.0000 0.2344 (multiplicity 4)
5 F 0.1850 0.1850 0.0000 (multiplicity 8)

Results
The calculation puts the calculated volume at 25.07 Å³ per atom. Its uncorrected formation energy is -2.29 eV per atom.

5.
Entry from Alexandria: Rb2NbSnF6 after structural relaxation (PBE-GGA).

abc: 9.2094 9.2094 9.2094
angles: 90.00 90.00 90.00
Space group Fm-3m (No. 225)
One atom of each set of equivalent atoms:
1 Rb 0.2500 0.2500 0.2500 (multiplicity 8)
2 Nb 0.0000 0.0000 0.0000 (multiplicity 4)
3 Sn 0.0000 0.0000 0.5000 (multiplicity 4)
4 F 0.0000 0.0000 0.2420 (multiplicity 24)

Results
The calculation puts the calculated volume at 19.53 Å³ per atom. Its uncorrected formation energy is -2.34 eV per atom.

6.
Entry from Alexandria: Rb2SrNbF6 after structural relaxation (PBE-GGA).

abc: 9.2301 9.2301 9.2301
angles: 90.00 90.00 90.00
Space group Fm-3m (No. 225)
One atom of each set of equivalent atoms:
1 Rb 0.2500 0.2500 0.2500 (multiplicity 8)
2 Sr 0.0000 0.0000 0.0000 (multiplicity 4)
3 Nb 0.0000 0.0000 0.5000 (multiplicity 4)
4 F 0.0000 0.0000 0.2579 (multiplicity 24)

Results
The calculation puts the calculated volume at 19.66 Å³ per atom. Its uncorrected formation energy is -2.82 eV per atom.

7.
Entry from Alexandria: Rb2NbTeF6 after structural relaxation (PBE-GGA).

abc: 7.5391 7.5391 9.8426
angles: 90.00 90.00 90.00
Space group I4/mmm (No. 139)
One atom of each set of equivalent atoms:
1 Rb 0.0000 0.5000 0.2500 (multiplicity 4)
2 Nb 0.0000 0.0000 0.0000 (multiplicity 2)
3 Te 0.0000 0.0000 0.5000 (multiplicity 2)
4 F 0.0000 0.0000 0.1978 (multiplicity 4)
5 F 0.1825 0.1825 0.0000 (multiplicity 8)

Results
The calculation puts the calculated volume at 27.97 Å³ per atom. Its uncorrected formation energy is -2.40 eV per atom.

8.
Entry from Alexandria: Rb2TiNbF6 after structural relaxation (PBE-GGA).

abc: 8.7171 8.7171 8.7171
angles: 90.00 90.00 90.00
Space group Fm-3m (No. 225)
One atom of each set of equivalent atoms:
1 Rb 0.2500 0.2500 0.2500 (multiplicity 8)
2 Ti 0.0000 0.0000 0.0000 (multiplicity 4)
3 Nb 0.0000 0.0000 0.5000 (multiplicity 4)
4 F 0.0000 0.0000 0.2427 (multiplicity 24)

Results
The calculation puts the calculated volume at 16.56 Å³ per atom. Its uncorrected formation energy is -2.51 eV per atom.

9.
Entry from Alexandria: Rb2NbTlF6 after structural relaxation (PBE-GGA).

abc: 9.5164 9.5164 9.5164
angles: 90.00 90.00 90.00
Space group Fm-3m (No. 225)
One atom of each set of equivalent atoms:
1 Rb 0.2500 0.2500 0.2500 (multiplicity 8)
2 Nb 0.0000 0.0000 0.0000 (multiplicity 4)
3 Tl 0.0000 0.0000 0.5000 (multiplicity 4)
4 F 0.0000 0.0000 0.2215 (multiplicity 24)

Results
The calculation puts the calculated volume at 21.55 Å³ per atom. Its uncorrected formation energy is -2.51 eV per atom.